A plane-wave DFT calculation with GGA+U was carried out for crystalline Mn2Ag2OsO6 at its relaxed geometry.

Cell lengths 5.430, 5.430, 6.629 Å; angles 104.47, 104.47, 118.54 degrees
Each line ends with the local moment (μB).
Fractional coordinates of all 11 atoms:
Mn: 0.338 0.662 0.500  4.55
Mn: 0.662 0.338 0.500  4.55
Ag: 0.810 0.190 0.000  0.04
Ag: 0.190 0.810 0.000  0.04
Os: 0.000 0.000 0.500  1.65
O: 0.825 0.825 0.701  0.12
O: 0.110 0.415 0.675  0.08
O: 0.175 0.175 0.299  0.12
O: 0.415 0.110 0.675  0.08
O: 0.890 0.585 0.325  0.08
O: 0.585 0.890 0.325  0.08

Summary:
For the total DFT energy (no corrections), the calculation gives -6.487 eV per atom. Its space group is C2/m. Its crystal system is monoclinic.